Here is a relaxed structure of AlB from the Alexandria database. Energies are from PBE.

```
AlB
1.0
-1.420 -1.400 2.297
3.509 1.129 0.943
-2.351 3.657 0.724
B Al
2 2
Direct
0.729 0.542 0.135 B
0.149 0.380 0.942 B
0.433 0.927 0.844 Al
0.054 0.190 0.402 Al
```

Energy of formation, meV per atom: 201
Space group: No. 1
Density of states at the Fermi level, states/eV per atom: 0.1422
Final energy, eV per atom: -5.01
Total magnetization, μB/f.u.: 0.00